1.
# LaErGa2Pd4

An optimized crystal structure of LaErGa2Pd4 (GGA-PBE, OQMD via LeMat-Bulk).

```
data_LaErGa2Pd4
_symmetry_space_group_name_H-M 'P -6 m 2'
_symmetry_Int_Tables_number 187
_symmetry_space_group_name_Hall 'P -6 2'
_cell_length_a 4.4348
_cell_length_b 4.4348
_cell_length_c 9.2659
_cell_angle_alpha 90.00
_cell_angle_beta 90.00
_cell_angle_gamma 120.00
loop_
_atom_site_label
_atom_site_fract_x
_atom_site_fract_y
_atom_site_fract_z
La1 0.0000 0.0000 0.0000
Er1 0.3333 0.6667 0.5000
Ga1 0.6667 0.3333 0.2634
Pd1 0.0000 0.0000 0.3379
Pd2 0.3333 0.6667 0.1864
```

=====

2.
# LiErGa

An optimized crystal structure of LiErGa (GGA-PBE, OQMD via LeMat-Bulk).

Values from the calculation:
- Energy relative to the lowest polymorph listed for this composition: 368 meV per atom

```
data_LiErGa
_symmetry_space_group_name_H-M 'F -4 3 m'
_symmetry_Int_Tables_number 216
_symmetry_space_group_name_Hall 'F -4 2 3'
_cell_length_a 6.6790
_cell_length_b 6.6790
_cell_length_c 6.6790
_cell_angle_alpha 90.00
_cell_angle_beta 90.00
_cell_angle_gamma 90.00
loop_
_atom_site_label
_atom_site_fract_x
_atom_site_fract_y
_atom_site_fract_z
Li1 0.0000 0.0000 0.0000
Er1 0.2500 0.2500 0.7500
Ga1 0.0000 0.0000 0.5000
```

=====

For the records above, the corresponding E_tot values read -43.3 -34.9 eV for the cell shown.